Entry from the Alexandria database: a geometry-optimized BaPbW2 structure (PBE-GGA).

The structure in POSCAR format:
```
BaPbW2
1.0
-2.2025 2.0637 -0.2792
-0.7983 -2.0113 2.1226
4.6365 5.9467 7.3786
Pb Ba W
1 1 2
Cartesian
1.9770 4.4862 6.4556
-0.3412 1.5129 2.7663
4.4965 5.7671 7.1557
2.4583 3.1529 3.9121
```

Calculated values
Its calculated volume is 92 Å³/f.u. The raw total energy is -6.4027 eV/atom.

***

Entry from the Alexandria database: a geometry-optimized Ba2PbW structure (PBE-GGA).

The structure in POSCAR format:
```
Ba2PbW
1.0
4.7753 0.0000 0.0000
0.0000 5.1290 -0.0035
0.0000 2.5678 6.3577
Pb Ba W
1 2 1
Cartesian
0.0000 4.8105 3.2211
0.0000 7.3761 5.8074
2.3876 2.2443 2.1596
2.3876 4.8112 4.6975
```

Calculated values
Its calculated volume is 156 Å³/f.u. The raw total energy is -4.4707 eV/atom.

***

Entry from the Alexandria database: a geometry-optimized Ba2PbW2 structure (PBE-GGA).

The structure in POSCAR format:
```
Ba2PbW2
1.0
-1.8430 -3.1727 0.2913
3.1180 -1.8653 -0.5887
2.6947 -2.6696 11.2250
Pb Ba W
1 2 2
Cartesian
0.0000 0.0000 0.0000
1.1105 -2.5536 2.4667
2.8591 -5.1540 8.4610
0.7446 -4.1807 5.6838
3.2251 -3.5269 5.2438
```

Calculated values
Its calculated volume is 157 Å³/f.u. As for the offset from the most stable computed form: 0.000 eV per formula unit. The raw total energy is -6.1126 eV/atom.

***

Question: What is the formula in the second record?
Answer: Ba2PbW